# 1
# Cr2Tc2Br

A relaxed Cr2Tc2Br crystal (PBE, the Alexandria database).

Energy relative to the elements, uncorrected (eV per atom): 0.589
Energy relative to the lowest polymorph listed for this composition (meV per atom): 0
E (eV per atom): -7.74
Spin magnetization (μB per formula unit): 0.0
Symmetry: I4/mmm

```
5
Lattice="-1.851 1.851 6.608 1.851 -1.851 6.608 1.851 1.851 -6.608" Properties=species:S:1:pos:R:3 pbc="T T T"
Cr 1.851 0.000 3.304
Cr 0.000 1.851 3.304
Tc 0.000 0.000 1.827
Tc 0.000 0.000 11.389
Br 0.000 0.000 6.608
```

---

# 2
# CrTc3Br

A relaxed CrTc3Br crystal (PBE, the Alexandria database).

Energy relative to the elements, uncorrected (eV per atom): 1.981
Energy relative to the lowest polymorph listed for this composition (meV per atom): 389
E (eV per atom): -6.50
Spin magnetization (μB per formula unit): 0.3
Symmetry: Pm-3m

```
5
Lattice="4.486 0.000 0.000 0.000 4.486 0.000 0.000 0.000 4.486" Properties=species:S:1:pos:R:3 pbc="T T T"
Cr 0.000 0.000 0.000
Tc 0.000 2.243 2.243
Tc 2.243 0.000 2.243
Tc 2.243 2.243 0.000
Br 2.243 2.243 2.243
```

---

# 3
# CrTcBr4

A relaxed CrTcBr4 crystal (PBE, the Alexandria database).

Energy relative to the elements, uncorrected (eV per atom): 1.303
E (eV per atom): -3.14
Spin magnetization (μB per formula unit): 1.4
Symmetry: F-43m

```
6
Lattice="0.000 4.386 4.386 4.386 0.000 4.386 4.386 4.386 0.000" Properties=species:S:1:pos:R:3 pbc="T T T"
Cr 0.000 0.000 0.000
Tc 2.193 2.193 2.193
Br 5.481 3.290 3.290
Br 3.290 5.481 3.290
Br 3.290 3.290 5.481
Br 5.481 5.481 5.481
```

---

# 4
# Cr2Tc2Br

A relaxed Cr2Tc2Br crystal (PBE, the Alexandria database).

Energy relative to the elements, uncorrected (eV per atom): 0.611
Energy relative to the lowest polymorph listed for this composition (meV per atom): 22
E (eV per atom): -7.72
Spin magnetization (μB per formula unit): 0.0
Symmetry: P4/mbm

```
10
Lattice="7.267 0.000 0.000 0.000 7.267 0.000 0.000 0.000 2.920" Properties=species:S:1:pos:R:3 pbc="T T T"
Cr 1.000 2.633 0.000
Cr 2.633 6.266 0.000
Cr 4.634 1.000 0.000
Cr 6.266 4.634 0.000
Tc 1.025 4.658 1.460
Tc 2.608 1.025 1.460
Tc 4.658 6.242 1.460
Tc 6.242 2.608 1.460
Br 0.000 0.000 1.460
Br 3.633 3.633 1.460
```

---

# 5
# CrTc3Br

A relaxed CrTc3Br crystal (PBE, the Alexandria database).

Energy relative to the elements, uncorrected (eV per atom): 1.592
Energy relative to the lowest polymorph listed for this composition (meV per atom): 0
E (eV per atom): -6.89
Spin magnetization (μB per formula unit): 3.3
Symmetry: Pm-3m

```
5
Lattice="4.547 0.000 0.000 0.000 4.547 0.000 0.000 0.000 4.547" Properties=species:S:1:pos:R:3 pbc="T T T"
Cr 0.000 0.000 0.000
Tc 0.000 0.000 2.273
Tc 0.000 2.273 0.000
Tc 2.273 0.000 0.000
Br 2.273 2.273 2.273
```

---

# 6
# YCr2TcBr

A relaxed YCr2TcBr crystal (PBE, the Alexandria database).

Energy relative to the elements, uncorrected (eV per atom): 0.630
E (eV per atom): -6.92
Spin magnetization (μB per formula unit): 6.1
Symmetry: P4/mmm

```
5
Lattice="4.638 0.000 0.000 0.000 4.638 0.000 0.000 0.000 5.716" Properties=species:S:1:pos:R:3 pbc="T T T"
Y 0.000 0.000 0.000
Cr 0.000 2.319 2.858
Cr 2.319 0.000 2.858
Tc 0.000 0.000 2.858
Br 2.319 2.319 0.000
```

---

# 7
# CrTe2Br

A relaxed CrTe2Br crystal (PBE, the Alexandria database).

Energy relative to the elements, uncorrected (eV per atom): 0.132
Energy relative to the lowest polymorph listed for this composition (meV per atom): 364
E (eV per atom): -4.26
Spin magnetization (μB per formula unit): 0.2
Symmetry: P4/mmm

```
4
Lattice="3.166 0.000 0.000 0.000 3.166 0.000 0.000 0.000 10.005" Properties=species:S:1:pos:R:3 pbc="T T T"
Cr 0.000 0.000 0.000
Te 1.583 1.583 1.647
Te 1.583 1.583 8.357
Br 0.000 0.000 5.002
```

---

# 8
# Cr2TeBr

A relaxed Cr2TeBr crystal (PBE, the Alexandria database).

Energy relative to the elements, uncorrected (eV per atom): 0.119
Energy relative to the lowest polymorph listed for this composition (meV per atom): 63
E (eV per atom): -5.90
Spin magnetization (μB per formula unit): 9.0
Symmetry: Pmmm

```
4
Lattice="3.648 0.000 0.000 0.000 3.749 0.000 0.000 0.000 7.111" Properties=species:S:1:pos:R:3 pbc="T T T"
Cr 0.000 0.000 1.473
Cr 0.000 0.000 5.638
Te 1.824 1.875 0.000
Br 1.824 0.000 3.556
```

---

# 9
# CrTe2Br

A relaxed CrTe2Br crystal (PBE, the Alexandria database).

Energy relative to the elements, uncorrected (eV per atom): 0.233
Energy relative to the lowest polymorph listed for this composition (meV per atom): 464
E (eV per atom): -4.16
Spin magnetization (μB per formula unit): 4.7
Symmetry: I4/mmm

```
4
Lattice="-2.082 2.082 7.267 2.082 -2.082 7.267 2.082 2.082 -7.267" Properties=species:S:1:pos:R:3 pbc="T T T"
Cr 0.000 0.000 0.000
Te 2.082 0.000 3.633
Te 0.000 2.082 3.633
Br 0.000 0.000 7.267
```

---

# 10
# CrTe2Br

A relaxed CrTe2Br crystal (PBE, the Alexandria database).

Energy relative to the elements, uncorrected (eV per atom): -0.106
Energy relative to the lowest polymorph listed for this composition (meV per atom): 126
E (eV per atom): -4.50
Spin magnetization (μB per formula unit): 2.2
Symmetry: R-3m

```
4
Lattice="1.925 1.111 8.104 -1.925 1.111 8.104 0.000 -2.222 8.104" Properties=species:S:1:pos:R:3 pbc="T T T"
Cr 0.000 0.000 0.000
Te 0.000 0.000 6.590
Te 0.000 0.000 17.723
Br 0.000 0.000 12.157
```

---

# 11
# CrTe2Br

A relaxed CrTe2Br crystal (PBE, the Alexandria database).

Energy relative to the elements, uncorrected (eV per atom): 0.412
Energy relative to the lowest polymorph listed for this composition (meV per atom): 644
E (eV per atom): -3.98
Spin magnetization (μB per formula unit): 3.7
Symmetry: Cmmm

```
4
Lattice="2.898 -5.285 0.000 2.898 5.285 0.000 0.000 0.000 3.509" Properties=species:S:1:pos:R:3 pbc="T T T"
Cr 0.000 0.000 0.000
Te 1.449 2.642 1.754
Te 1.449 -2.642 1.754
Br 2.898 0.000 0.000
```

---

# 12
# Cr2TeBr

A relaxed Cr2TeBr crystal (PBE, the Alexandria database).

Energy relative to the elements, uncorrected (eV per atom): 0.238
Energy relative to the lowest polymorph listed for this composition (meV per atom): 182
E (eV per atom): -5.78
Spin magnetization (μB per formula unit): 9.0
Symmetry: Immm

```
4
Lattice="-1.991 3.507 3.776 1.991 -3.507 3.776 1.991 3.507 -3.776" Properties=species:S:1:pos:R:3 pbc="T T T"
Cr 0.000 0.000 1.864
Cr 0.000 0.000 5.688
Te 0.000 3.507 0.000
Br 1.991 0.000 0.000
```

---

- Which of these has the highest E?
  CrTcBr4